1.
Material: HfAuNF2
Method: DFT, PBE-GGA
State: relaxed

```
HfAuNF2
1.0
4.186 0.000 0.000
0.000 4.186 0.000
0.000 0.000 4.193
Hf Au N F
1 1 1 2
direct
0.000 0.000 0.000 Hf
0.500 0.500 0.000 Au
0.000 0.000 0.500 N
0.000 0.500 0.500 F
0.500 0.000 0.500 F
```

* mass density: 9.663 g cm⁻³
* size of the total moment: 0.00 Bohr magnetons per cell
* formation energy from raw total energies: -0.230 eV/atom
* E above lowest polymorph: 1301 meV/atom

***

2.
Material: LiPmNdIr
Method: DFT, PBE-GGA
State: relaxed

```
LiPmNdIr
1.0
0.000 3.586 3.586
3.586 0.000 3.586
3.586 3.586 0.000
Li Pm Nd Ir
1 1 1 1
direct
0.000 0.000 0.000 Li
0.750 0.750 0.750 Pm
0.250 0.250 0.250 Nd
0.500 0.500 0.500 Ir
```

* mass density: 8.796 g cm⁻³
* size of the total moment: 0.00 Bohr magnetons per cell
* formation energy: -414.1 meV/atom